The following is a DFT calculation (GGA-PBEsol) of a relaxed CuSi2Ni crystal.

Cell and atoms, written as POSCAR:
```
CuSi2Ni
1.0
-3.592 0.466 0.397
-0.569 -1.668 -3.190
1.861 -2.514 3.065
Si Ni Cu
2 1 1
direct
0.250 0.750 0.500
0.750 0.250 0.500
0.000 0.000 0.000
0.500 0.500 0.000
```

E_form (uncorrected)	-0.39	eV/f.u.
total magnetic moment	0.00	μB/cell
DOS at the Fermi energy	2.0	states/eV per cell
symmetry	I4/mmm, No. 139